CdGePb3: optimized geometry, PBEsol.

Output
For the density, the calculation gives 8.2 g/cm3. For the density of states at the Fermi level, the calculation gives 0.63 states/eV per atom. For the formation energy, the calculation gives 0.519 eV per atom.

abc: 5.4621 5.4621 5.4621
angles: 90.00 90.00 90.00
Sites, in units of the cell vectors:
Cd 0.0000 0.0000 0.0000
Ge 0.5000 0.5000 0.5000
Pb 0.0000 0.5000 0.5000
Pb 0.5000 0.0000 0.5000
Pb 0.5000 0.5000 0.0000